CuSb2Pb: optimized geometry, PBE.

Unit cell a=3.352 b=3.352 c=9.377 alpha=90.00 beta=90.00 gamma=107.25
Fractional coordinates of all 4 atoms:
Cu  0.000  0.000  0.000
Sb  0.500  0.500  0.191
Sb  0.500  0.500  0.809
Pb  0.000  0.000  0.500

## Properties
E_form (uncorrected) ... 0.155 eV per atom
Space-group type ... Cmmm
Total DFT energy (no corrections) ... -3.86 eV per atom
Volume ... 25.16 Å³ per atom

***

CuSb2Pb: optimized geometry, PBE.

Unit cell a=6.330 b=6.363 c=6.824 alpha=63.18 beta=73.37 gamma=60.74
Fractional coordinates of all 8 atoms:
Cu  0.088  0.134  0.019
Cu  0.912  0.866  0.981
Sb  0.167  0.556  0.740
Sb  0.270  0.627  0.253
Sb  0.730  0.373  0.747
Sb  0.833  0.444  0.260
Pb  0.460  0.052  0.247
Pb  0.540  0.948  0.753

## Properties
E_form (uncorrected) ... 0.089 eV per atom
Space-group type ... P-1
Total DFT energy (no corrections) ... -3.92 eV per atom
Volume ... 26.65 Å³ per atom

***

CuTcSb2Pb: optimized geometry, PBE.

Unit cell a=5.761 b=5.761 c=5.243 alpha=90.00 beta=90.00 gamma=90.00
Fractional coordinates of all 5 atoms:
Cu  0.000  0.000  0.000
Tc  0.500  0.500  0.000
Sb  0.000  0.500  0.500
Sb  0.500  0.000  0.500
Pb  0.500  0.500  0.500

## Properties
E_form (uncorrected) ... 1.756 eV per atom
Space-group type ... P4/mmm
Total DFT energy (no corrections) ... -3.53 eV per atom
Volume ... 34.81 Å³ per atom

***

CuSbTe3Pb: optimized geometry, PBE.

Unit cell a=9.183 b=4.324 c=9.539 alpha=90.00 beta=101.47 gamma=90.00
Fractional coordinates of all 12 atoms:
Cu  0.063  0.250  0.068
Cu  0.937  0.750  0.932
Sb  0.339  0.750  0.358
Sb  0.661  0.250  0.642
Te  0.107  0.250  0.363
Te  0.229  0.750  0.018
Te  0.425  0.750  0.675
Te  0.575  0.250  0.325
Te  0.771  0.250  0.982
Te  0.893  0.750  0.637
Pb  0.166  0.250  0.760
Pb  0.834  0.750  0.240

## Properties
E_form (uncorrected) ... -0.161 eV per atom
Space-group type ... P2_1/m
Total DFT energy (no corrections) ... -3.72 eV per atom
Volume ... 30.93 Å³ per atom

***

CuSb2TePb: optimized geometry, PBE.

Unit cell a=5.879 b=5.879 c=5.882 alpha=90.00 beta=90.00 gamma=90.00
Fractional coordinates of all 5 atoms:
Cu  0.000  0.000  0.000
Sb  0.000  0.500  0.500
Sb  0.500  0.000  0.500
Te  0.500  0.500  0.000
Pb  0.500  0.500  0.500

## Properties
E_form (uncorrected) ... 1.196 eV per atom
Space-group type ... P4/mmm
Total DFT energy (no corrections) ... -2.64 eV per atom
E above lowest polymorph ... 910 meV per atom
Volume ... 40.65 Å³ per atom

***

CuSb2TePb: optimized geometry, PBE.

Unit cell a=5.072 b=5.072 c=5.606 alpha=90.00 beta=90.00 gamma=90.00
Fractional coordinates of all 5 atoms:
Cu  0.000  0.000  0.000
Sb  0.000  0.500  0.000
Sb  0.500  0.000  0.000
Te  0.000  0.000  0.500
Pb  0.500  0.500  0.500

## Properties
E_form (uncorrected) ... 0.286 eV per atom
Space-group type ... P4/mmm
Total DFT energy (no corrections) ... -3.55 eV per atom
E above lowest polymorph ... 0 meV per atom
Volume ... 28.85 Å³ per atom

***

CuSb2TePb: optimized geometry, PBE.

Unit cell a=5.730 b=5.730 c=5.974 alpha=90.00 beta=90.00 gamma=90.00
Fractional coordinates of all 5 atoms:
Cu  0.000  0.000  0.000
Sb  0.000  0.500  0.500
Sb  0.500  0.000  0.500
Te  0.500  0.500  0.500
Pb  0.500  0.500  0.000

## Properties
E_form (uncorrected) ... 1.053 eV per atom
Space-group type ... P4/mmm
Total DFT energy (no corrections) ... -2.78 eV per atom
E above lowest polymorph ... 767 meV per atom
Volume ... 39.23 Å³ per atom

***

ScCuPb: optimized geometry, PBE.

Unit cell a=6.233 b=6.233 c=6.233 alpha=149.18 beta=149.18 gamma=44.15
Fractional coordinates of all 3 atoms:
Sc  0.000  0.000  0.000
Cu  0.628  0.628  0.000
Pb  0.293  0.293  0.000

## Properties
Space-group type ... I4mm
Total DFT energy (no corrections) ... -4.82 eV per atom
DFT formation energy ... -0.109 eV/atom
Volume ... 21.13 Å³ per atom